## ErTlAsO (PBE-GGA)

Data for a relaxed structure of ErTlAsO.

a = 5.1361 Å, b = 7.4443 Å, c = 5.6911 Å
α = 90.00°, β = 90.00°, γ = 90.00°
Space group Pmc2_1 (No. 26)
One atom of each set of equivalent atoms:
Er 0.0000 0.1485 0.0000 x2
Tl 0.5000 0.2807 0.4209 x2
As 0.5000 0.3020 0.9165 x2
O 0.0000 0.1071 0.3585 x2

## Properties
E above lowest polymorph (kJ/mol of formula units): 15